# 1
# KSmAsO4 PBE optimized geometry
data_KSmAsO4
_chemical_formula_sum 'K4 Sm4 As4 O16'
_cell_length_a 6.4917
_cell_length_b 7.0820
_cell_length_c 9.5462
_cell_angle_alpha 90.00
_cell_angle_beta 90.00
_cell_angle_gamma 90.00
_space_group_name_H-M_alt 'I m m a'
_space_group_IT_number 74
_space_group_name_Hall '-I 2b 2'
loop_
_atom_site_label
_atom_site_fract_x
_atom_site_fract_y
_atom_site_fract_z
K1 0.2500 0.2500 0.2500
Sm1 0.0000 0.0000 0.0000
As1 0.0000 0.2500 0.6375
O1 0.0000 0.0474 0.7483
O2 0.2449 0.2500 0.9792
# Energy relative to the elements, uncorrected ... -1.871 eV/atom
# Electronic total energy ... -0.4557 Ry per atom
# Crystal system ... orthorhombic

***

# 2
# PuTcNiGe2 PBE optimized geometry
data_PuTcNiGe2
_chemical_formula_sum 'Pu2 Tc2 Ni2 Ge4'
_cell_length_a 4.0858
_cell_length_b 4.0858
_cell_length_c 10.5313
_cell_angle_alpha 90.00
_cell_angle_beta 90.00
_cell_angle_gamma 90.00
_space_group_name_H-M_alt 'I -4 m 2'
_space_group_IT_number 119
_space_group_name_Hall 'I -4 -2'
loop_
_atom_site_label
_atom_site_fract_x
_atom_site_fract_y
_atom_site_fract_z
Pu1 0.0000 0.0000 0.0000
Tc1 0.0000 0.5000 0.7500
Ni1 0.0000 0.5000 0.2500
Ge1 0.0000 0.0000 0.3756
# Electronic total energy ... -0.6113 Ry per atom
# Crystal system ... tetragonal
# Energy relative to the elements ... -0.3741 eV/atom

***

# 3
# Sr2NiGeAu6 PBE optimized geometry
data_Sr2NiGeAu6
_chemical_formula_sum 'Sr2 Ni1 Ge1 Au6'
_cell_length_a 6.7875
_cell_length_b 6.7876
_cell_length_c 7.1184
_cell_angle_alpha 61.80
_cell_angle_beta 61.60
_cell_angle_gamma 60.06
_space_group_name_H-M_alt 'P -1'
_space_group_IT_number 2
_space_group_name_Hall '-P 1'
loop_
_atom_site_label
_atom_site_fract_x
_atom_site_fract_y
_atom_site_fract_z
Sr1 0.2195 0.2236 0.3365
Ni1 0.5000 0.5000 0.5000
Ge1 0.0000 0.0000 0.0000
Au1 0.2549 0.6758 0.8168
Au2 0.2579 0.2489 0.8102
Au3 0.3174 0.7513 0.1893
# Electronic total energy ... -0.2746 Ry per atom
# Crystal system ... triclinic
# Energy relative to the elements ... -0.3933 eV/atom

***

# 4
# Tl12Bi3Te5 PBE optimized geometry
data_Tl12Bi3Te5
_chemical_formula_sum 'Tl96 Bi24 Te40'
_cell_length_a 18.7829
_cell_length_b 18.7829
_cell_length_c 18.7829
_cell_angle_alpha 90.00
_cell_angle_beta 90.00
_cell_angle_gamma 90.00
_space_group_name_H-M_alt 'I a -3 d'
_space_group_IT_number 230
_space_group_name_Hall '-I 4bd 2c 3'
loop_
_atom_site_label
_atom_site_fract_x
_atom_site_fract_y
_atom_site_fract_z
Tl1 0.0112 0.0711 0.6560
Bi1 0.0000 0.2500 0.1250
Te1 0.0000 0.0000 0.0000
Te2 0.0000 0.2500 0.3750
# Energy relative to the elements, uncorrected ... -0.065 eV/atom
# Electronic total energy ... -0.2097 Ry per atom
# Crystal system ... cubic

***

# 5
# SmEuTl2 PBE optimized geometry
data_SmEuTl2
_chemical_formula_sum 'Sm3 Eu3 Tl6'
_cell_length_a 3.8519
_cell_length_b 3.8519
_cell_length_c 30.1158
_cell_angle_alpha 90.00
_cell_angle_beta 90.00
_cell_angle_gamma 120.00
_space_group_name_H-M_alt 'R -3 m'
_space_group_IT_number 166
_space_group_name_Hall '-R 3 2"'
loop_
_atom_site_label
_atom_site_fract_x
_atom_site_fract_y
_atom_site_fract_z
Sm1 0.0000 0.0000 0.0000
Eu1 0.0000 0.0000 0.5000
Tl1 0.0000 0.0000 0.2517
# Electronic total energy ... -0.3819 Ry per atom
# Crystal system ... trigonal
# Energy relative to the elements ... -0.2646 eV/atom

***

# 6
# Sm2DyHo9 PBE optimized geometry
data_Sm2DyHo9
_chemical_formula_sum 'Sm2 Dy1 Ho9'
_cell_length_a 5.0092
_cell_length_b 5.0092
_cell_length_c 15.0283
_cell_angle_alpha 90.00
_cell_angle_beta 90.00
_cell_angle_gamma 90.00
_space_group_name_H-M_alt 'P 4/m m m'
_space_group_IT_number 123
_space_group_name_Hall '-P 4 2'
loop_
_atom_site_label
_atom_site_fract_x
_atom_site_fract_y
_atom_site_fract_z
Sm1 0.0000 0.0000 0.1670
Dy1 0.0000 0.0000 0.5000
Ho1 0.0000 0.5000 0.0000
Ho2 0.0000 0.5000 0.3346
Ho3 0.5000 0.5000 0.1675
Ho4 0.5000 0.5000 0.5000
# Electronic total energy ... -0.3368 Ry per atom
# Crystal system ... tetragonal
# Energy relative to the elements ... 0.0216 eV/atom

***

# 7
# LiNbNiPd2 PBE optimized geometry
data_LiNbNiPd2
_chemical_formula_sum 'Li1 Nb1 Ni1 Pd2'
_cell_length_a 4.7359
_cell_length_b 4.7359
_cell_length_c 4.3822
_cell_angle_alpha 90.00
_cell_angle_beta 90.00
_cell_angle_gamma 90.00
_space_group_name_H-M_alt 'P 4/m m m'
_space_group_IT_number 123
_space_group_name_Hall '-P 4 2'
loop_
_atom_site_label
_atom_site_fract_x
_atom_site_fract_y
_atom_site_fract_z
Li1 0.0000 0.0000 0.0000
Nb1 0.5000 0.5000 0.0000
Ni1 0.5000 0.5000 0.5000
Pd1 0.0000 0.5000 0.5000
# Electronic total energy ... -0.3681 Ry per atom
# Crystal system ... tetragonal
# Energy relative to the elements ... 0.6219 eV/atom

***

# 8
# CaHo2Mg3 PBE optimized geometry
data_CaHo2Mg3
_chemical_formula_sum 'Ca1 Ho2 Mg3'
_cell_length_a 3.8132
_cell_length_b 3.8132
_cell_length_c 11.6721
_cell_angle_alpha 90.00
_cell_angle_beta 90.00
_cell_angle_gamma 90.00
_space_group_name_H-M_alt 'P 4/m m m'
_space_group_IT_number 123
_space_group_name_Hall '-P 4 2'
loop_
_atom_site_label
_atom_site_fract_x
_atom_site_fract_y
_atom_site_fract_z
Ca1 0.0000 0.0000 0.0000
Ho1 0.0000 0.0000 0.3439
Mg1 0.5000 0.5000 0.1807
Mg2 0.5000 0.5000 0.5000
# Electronic total energy ... -0.2008 Ry per atom
# Crystal system ... tetragonal
# Energy relative to the elements ... -0.0752 eV/atom

***

Q: Which of these has the lowest electronic total energy?
A: PuTcNiGe2

***

Q: Which value of electronic total energy does entry 6 give?
A: -0.3368 Ry per atom

***

Q: Which of these has the highest electronic total energy?
A: CaHo2Mg3